Material: Li3Lu5H12
Method: DFT, GGA-PBE
State: relaxed

The value obtained for the total energy is -3.8523 eV per atom. Its magnetic moment is 0.00 μB per formula unit. As for the space group: No. 230.

Lattice parameters (Å, degrees): 10.516 10.516 10.516 109.47 109.47 109.47
Fractional coordinates of all 80 atoms:
H 0.594 0.170 0.942
H 0.348 0.442 0.273
H 0.058 0.330 0.406
H 0.442 0.094 0.170
H 0.424 0.594 0.652
H 0.058 0.727 0.152
H 0.348 0.906 0.576
H 0.227 0.076 0.170
H 0.727 0.058 0.652
H 0.594 0.424 0.152
H 0.906 0.558 0.330
H 0.848 0.773 0.942
H 0.170 0.594 0.442
H 0.330 0.273 0.924
H 0.924 0.773 0.330
H 0.576 0.170 0.727
H 0.924 0.152 0.094
H 0.558 0.652 0.227
H 0.848 0.076 0.406
H 0.170 0.576 0.227
H 0.330 0.058 0.906
H 0.727 0.670 0.576
H 0.773 0.848 0.442
H 0.906 0.348 0.076
H 0.273 0.330 0.424
H 0.227 0.152 0.558
H 0.094 0.652 0.924
H 0.152 0.924 0.594
H 0.670 0.942 0.094
H 0.830 0.424 0.773
H 0.442 0.348 0.773
H 0.424 0.830 0.273
H 0.076 0.848 0.906
H 0.076 0.227 0.670
H 0.830 0.406 0.558
H 0.152 0.227 0.058
H 0.670 0.727 0.076
H 0.273 0.942 0.348
H 0.406 0.576 0.848
H 0.094 0.442 0.670
H 0.773 0.924 0.830
H 0.652 0.094 0.424
H 0.558 0.906 0.830
H 0.942 0.273 0.848
H 0.576 0.406 0.348
H 0.942 0.670 0.594
H 0.652 0.558 0.727
H 0.406 0.830 0.058
Lu 0.125 0.375 0.250
Lu 0.000 0.500 0.000
Lu 0.000 0.000 0.000
Lu 0.375 0.250 0.125
Lu 0.500 0.000 0.500
Lu 0.500 0.500 0.000
Lu 0.125 0.750 0.375
Lu 0.750 0.125 0.875
Lu 0.750 0.625 0.375
Lu 0.375 0.125 0.750
Lu 0.625 0.875 0.250
Lu 0.500 0.500 0.500
Lu 0.500 0.000 0.000
Lu 0.000 0.000 0.500
Lu 0.250 0.375 0.625
Lu 0.250 0.875 0.125
Lu 0.000 0.500 0.500
Lu 0.875 0.250 0.625
Lu 0.625 0.750 0.875
Lu 0.875 0.625 0.750
Li 0.750 0.375 0.125
Li 0.875 0.750 0.125
Li 0.375 0.750 0.625
Li 0.250 0.125 0.375
Li 0.875 0.125 0.250
Li 0.375 0.625 0.250
Li 0.625 0.375 0.750
Li 0.125 0.875 0.750
Li 0.750 0.875 0.625
Li 0.625 0.250 0.375
Li 0.125 0.250 0.875
Li 0.250 0.625 0.875

---

Material: KDySc4S8
Method: DFT, GGA-PBE
State: relaxed

The value obtained for the energy relative to the elements, uncorrected is -2400 kJ/mol of formula units. The value obtained for the total energy is -6.3515 eV per atom. Its magnetic moment is 0.00 μB per formula unit. As for the space group: No. 160.

Lattice parameters (Å, degrees): 7.793 7.793 7.991 60.82 60.82 60.00
Fractional coordinates of all 14 atoms:
K 0.367 0.367 0.898
Dy 0.004 0.004 0.988
Sc 0.627 0.627 0.120
Sc 0.005 0.484 0.507
Sc 0.484 0.005 0.507
Sc 0.005 0.005 0.507
S 0.242 0.800 0.716
S 0.800 0.242 0.716
S 0.242 0.242 0.716
S 0.229 0.229 0.314
S 0.752 0.235 0.260
S 0.235 0.752 0.260
S 0.752 0.752 0.260
S 0.757 0.757 0.729

---

Material: YErPuCd
Method: DFT, GGA-PBE
State: relaxed

The value obtained for the total energy is -6.4964 eV per atom. Its magnetic moment is 6.75 μB per formula unit. As for the space group: No. 216.

Lattice parameters (Å, degrees): 5.391 5.391 5.391 60.00 60.00 60.00
Last column: magnetic moment on the atom in μB.
Fractional coordinates of all 4 atoms:
Y 0.750 0.750 0.750  0.24
Cd 0.000 0.000 0.000  -0.02
Er 0.250 0.250 0.250  0.34
Pu 0.500 0.500 0.500  5.68

---

Material: Tb5CeHo12
Method: DFT, GGA-PBE
State: relaxed

The value obtained for the total energy is -4.5275 eV per atom. Its magnetic moment is 1.03 μB per formula unit. As for the space group: No. 12.

Lattice parameters (Å, degrees): 11.517 7.753 10.992 111.14 119.06 42.03
Last column: magnetic moment on the atom in μB.
Fractional coordinates of all 18 atoms:
Tb 0.500 0.000 0.500  -0.03
Tb 0.167 0.667 0.500  0.00
Tb 0.833 0.333 0.500  0.00
Tb 0.668 0.665 0.000  0.00
Tb 0.332 0.335 0.000  0.00
Ce 0.000 0.000 0.000  0.71
Ho 0.691 0.000 0.330  -0.02
Ho 0.309 0.000 0.670  -0.02
Ho 0.663 0.000 0.848  0.01
Ho 0.337 0.000 0.152  0.01
Ho 0.325 0.669 0.848  0.03
Ho 0.006 0.669 0.152  0.03
Ho 0.994 0.331 0.848  0.03
Ho 0.675 0.331 0.152  0.03
Ho 0.642 0.333 0.674  0.02
Ho 0.975 0.667 0.674  0.02
Ho 0.025 0.333 0.326  0.02
Ho 0.358 0.667 0.326  0.02

---

Material: Sm5Ag2Pt2
Method: DFT, GGA-PBE
State: relaxed

The value obtained for the total energy is -5.2385 eV per atom. Its magnetic moment is 0.00 μB per formula unit. As for the space group: No. 64.

Lattice parameters (Å, degrees): 7.987 7.577 8.732 115.71 90.00 90.00
Fractional coordinates of all 18 atoms:
Sm 0.000 0.000 0.000
Sm 0.500 0.500 0.000
Sm 0.825 0.797 0.256
Sm 0.175 0.459 0.256
Sm 0.325 0.959 0.256
Sm 0.675 0.297 0.256
Sm 0.175 0.203 0.744
Sm 0.825 0.541 0.744
Sm 0.675 0.041 0.744
Sm 0.325 0.703 0.744
Ag 0.000 0.210 0.421
Ag 0.500 0.710 0.421
Ag 0.000 0.790 0.579
Ag 0.500 0.290 0.579
Pt 0.631 0.870 0.000
Pt 0.369 0.130 0.000
Pt 0.131 0.630 0.000
Pt 0.869 0.370 0.000

---

Material: Y2ZnIn6
Method: DFT, GGA-PBE
State: relaxed

The value obtained for the total energy is -3.5940 eV per atom. Its magnetic moment is 0.00 μB per formula unit. As for the space group: No. 38.

Lattice parameters (Å, degrees): 4.517 6.578 8.526 112.69 90.00 90.00
Fractional coordinates of all 9 atoms:
Y 0.000 0.452 0.743
Y 0.000 0.709 0.257
Zn 0.500 0.722 0.000
In 0.500 0.296 0.000
In 0.500 0.587 0.511
In 0.500 0.076 0.489
In 0.000 0.964 0.000
In 0.000 0.930 0.665
In 0.000 0.265 0.335

---

Material: Rb2BaSn2S4
Method: DFT, GGA-PBE
State: relaxed

The value obtained for the energy relative to the elements, uncorrected is -919 kJ/mol of formula units. The value obtained for the total energy is -4.2113 eV per atom. Its magnetic moment is 0.00 μB per formula unit. As for the space group: No. 12.

Lattice parameters (Å, degrees): 4.229 9.451 8.561 115.10 90.00 102.93
Fractional coordinates of all 9 atoms:
Rb 0.879 0.758 0.447
Rb 0.121 0.242 0.553
Ba 0.000 0.000 0.000
Sn 0.307 0.614 0.949
Sn 0.693 0.386 0.051
S 0.816 0.632 0.761
S 0.184 0.368 0.239
S 0.445 0.890 0.205
S 0.555 0.110 0.795

---

Material: LiTlGeBr4
Method: DFT, GGA-PBE
State: relaxed

The value obtained for the energy relative to the elements, uncorrected is -602 kJ/mol of formula units. The value obtained for the total energy is -3.1188 eV per atom. Its magnetic moment is 0.00 μB per formula unit. As for the space group: No. 11.

Lattice parameters (Å, degrees): 7.482 7.316 9.350 90.00 108.29 90.00
Fractional coordinates of all 14 atoms:
Li 0.280 0.750 0.322
Li 0.720 0.250 0.678
Tl 0.718 0.750 0.973
Tl 0.282 0.250 0.027
Ge 0.803 0.750 0.524
Ge 0.197 0.250 0.476
Br 0.968 0.503 0.709
Br 0.032 0.003 0.291
Br 0.032 0.497 0.291
Br 0.968 0.997 0.709
Br 0.390 0.750 0.101
Br 0.610 0.250 0.899
Br 0.497 0.750 0.596
Br 0.503 0.250 0.404